1.
The following is a PBE calculation of a geometry-optimized RbLiZnPbSe structure, from Alexandria.

Properties
Crystal system   tetragonal
Magnetization   0.00 μB/atom
Energy   -27.88 eV/cell

POSCAR file:
```
RbLiZnPbSe
1.0
-2.4087 -2.4866 1.4236
2.0174 -2.7925 -1.4643
10.0593 -0.8652 15.5094
Rb Li Zn Pb Se
2 2 2 2 2
direct
0.0000 0.0000 0.3730
0.5000 0.5000 0.8730
0.0000 0.0000 0.2064
0.5000 0.5000 0.7064
0.0000 0.0000 0.6178
0.5000 0.5000 0.1178
0.0000 0.0000 0.0355
0.5000 0.5000 0.5355
0.0000 0.0000 0.7489
0.5000 0.5000 0.2489
```



2.
The following is a PBE calculation of a geometry-optimized Cd2In3Pb structure, from Alexandria.

Properties
Crystal system   tetragonal
Magnetization   0.00 μB/atom
E_form   0.2 eV per formula unit

POSCAR file:
```
Cd2In3Pb
1.0
3.7207 0.0000 0.0000
0.0000 3.7207 0.0000
0.0000 0.0000 11.6620
Cd In Pb
2 3 1
direct
0.5000 0.5000 0.8431
0.5000 0.5000 0.1569
0.0000 0.0000 0.0000
0.0000 0.0000 0.6878
0.0000 0.0000 0.3122
0.5000 0.5000 0.5000
```



3.
The following is a PBE calculation of a geometry-optimized BeV8Ge2 structure, from Alexandria.

Properties
Crystal system   monoclinic
Magnetization   0.00 μB/atom
E_form   -1.8 eV per formula unit

POSCAR file:
```
BeV8Ge2
1.0
4.2957 0.0000 0.0000
0.0000 4.7200 0.5297
-2.1478 -1.2595 6.9897
Be V Ge
1 8 2
direct
0.5000 0.0000 0.0000
0.4134 0.4715 0.8268
0.6723 0.0963 0.3445
0.7680 0.6614 0.5360
0.0449 0.2562 0.0898
0.2320 0.3386 0.4640
0.3277 0.9037 0.6555
0.5866 0.5285 0.1732
0.9551 0.7438 0.9102
0.8547 0.2040 0.7093
0.1453 0.7960 0.2907
```



4.
The following is a PBE calculation of a geometry-optimized Nd3Ga7Ni2 structure, from Alexandria.

Properties
Crystal system   monoclinic
Magnetization   0.00 μB/atom
E_form   -7.2 eV per formula unit

POSCAR file:
```
Nd3Ga7Ni2
1.0
-3.9654 1.4457 0.7139
-1.5780 -3.8933 -0.8808
1.8507 -1.3331 12.9789
Nd Ga Ni
3 7 2
direct
0.5000 0.5000 0.0000
0.0000 0.1818 0.3620
0.0000 0.8182 0.6380
0.5000 0.7216 0.4435
0.5000 0.2784 0.5565
0.0000 0.5873 0.1740
0.0000 0.0000 0.0000
0.0000 0.4127 0.8260
0.5000 0.9146 0.8265
0.5000 0.0854 0.1735
0.5000 0.6278 0.2593
0.5000 0.3722 0.7407
```



5.
The following is a PBE calculation of a geometry-optimized La2TbThS4 structure, from Alexandria.

Properties
Crystal system   monoclinic
Magnetization   0.00 μB/atom
Energy   -54.76 eV/cell

POSCAR file:
```
La2TbThS4
1.0
4.0511 0.0000 0.0000
0.0000 7.0620 0.1339
0.0000 -2.4554 6.6165
La Tb Th S
2 1 1 4
direct
0.5000 0.0000 0.5000
0.0000 0.5000 0.5000
0.0000 0.0000 0.0000
0.5000 0.5000 0.0000
0.5000 0.2397 0.2348
0.5000 0.7603 0.7652
0.0000 0.2476 0.7610
0.0000 0.7524 0.2390
```



6.
The following is a PBE calculation of a geometry-optimized RbInPbSe3 structure, from Alexandria.

Properties
Crystal system   monoclinic
Magnetization   0.00 μB/atom
Energy   -44.35 eV/cell

POSCAR file:
```
RbInPbSe3
1.0
-3.7293 0.6352 -2.2120
-4.3454 -7.1630 5.2693
-2.0357 9.1631 6.0633
Rb In Pb Se
2 2 2 6
direct
0.2500 0.1766 0.1744
0.7500 0.8234 0.8256
0.2500 0.0881 0.6238
0.7500 0.9119 0.3762
0.2500 0.6308 0.1261
0.7500 0.3692 0.8739
0.7500 0.8889 0.1492
0.2500 0.1111 0.8508
0.2500 0.8247 0.4839
0.7500 0.1753 0.5161
0.7500 0.4251 0.1330
0.2500 0.5749 0.8670
```



7.
The following is a PBE calculation of a geometry-optimized NdSm2Tm4Th structure, from Alexandria.

Properties
Crystal system   monoclinic
Magnetization   0.00 μB/atom
E_form   0.2 eV per formula unit

POSCAR file:
```
NdSm2Tm4Th
1.0
-2.5956 -3.2365 2.9475
2.6195 1.5854 4.0477
-4.1748 8.5472 5.7088
Nd Sm Tm Th
1 2 4 1
direct
0.5000 0.5000 0.0000
0.0000 0.0000 0.0000
0.5000 0.0000 0.5000
0.0000 0.7545 0.7456
0.0000 0.2455 0.2544
0.5000 0.7450 0.2547
0.5000 0.2550 0.7453
0.0000 0.5000 0.5000
```



8.
The following is a PBE calculation of a geometry-optimized TlHg2Au structure, from Alexandria.

Properties
Crystal system   orthorhombic
Magnetization   0.00 μB/atom
E_form   0.1 eV per formula unit

POSCAR file:
```
TlHg2Au
1.0
7.3142 0.1981 0.0769
4.8936 5.4397 -0.0769
-5.8087 -3.4581 2.8006
Tl Au Hg
1 1 2
direct
0.4432 0.4432 0.0000
0.2484 0.7484 0.5000
0.0620 0.0620 0.0000
0.7464 0.2464 0.5000
```



9.
The following is a PBE calculation of a geometry-optimized AuCl2F structure, from Alexandria.

Properties
Crystal system   trigonal
Magnetization   0.00 μB/atom
Energy   -8.94 eV/cell

POSCAR file:
```
AuCl2F
1.0
1.6657 -6.7631 2.9665
3.6118 -4.2494 5.1196
-0.1165 -4.8722 5.7932
F Au Cl
1 1 2
direct
0.0000 0.0000 0.0000
0.5000 0.5000 0.5000
0.9018 0.9018 0.9018
0.0982 0.0982 0.0982
```



10.
The following is a PBE calculation of a geometry-optimized YMn2Pb structure, from Alexandria.

Properties
Crystal system   tetragonal
Magnetization   1.62 μB/atom
E_form   0.8 eV per formula unit

POSCAR file:
```
YMn2Pb
1.0
5.4615 -0.0238 -0.0407
2.1092 5.0379 0.0407
-3.7649 -2.5379 3.0356
Mn Pb Y
2 1 1
direct
0.9999 0.9999 0.0000
0.2501 0.7501 0.5000
0.5001 0.5001 0.0000
0.7499 0.2499 0.5000
```



11.
The following is a PBE calculation of a geometry-optimized TiMnReRh structure, from Alexandria.

Properties
Crystal system   cubic
Magnetization   0.76 μB/atom
E_form   -1.1 eV per formula unit

POSCAR file:
```
TiMnReRh
1.0
-0.7378 -3.0857 2.9418
2.7025 -0.4927 3.3427
-1.2769 1.0770 3.9912
Re Mn Rh Ti
1 1 1 1
direct
0.0000 0.0000 0.0000
0.7500 0.7500 0.7500
0.5000 0.5000 0.5000
0.2500 0.2500 0.2500
```



12.
The following is a PBE calculation of a geometry-optimized SiOs2Pt structure, from Alexandria.

Properties
Crystal system   monoclinic
Magnetization   0.00 μB/atom
Energy   -137.73 eV/cell

POSCAR file:
```
SiOs2Pt
1.0
8.4957 0.0000 -0.0025
0.0000 2.7759 0.0000
-2.3854 0.0000 9.7893
Si Os Pt
4 8 4
direct
0.5228 0.0000 0.8652
0.5228 0.5000 0.3652
0.1839 0.0000 0.5887
0.1839 0.5000 0.0887
0.7666 0.0000 0.4618
0.7666 0.5000 0.9618
0.7164 0.0000 0.7181
0.7164 0.5000 0.2181
0.9649 0.0000 0.1613
0.9649 0.5000 0.6613
0.0049 0.0000 0.8966
0.0049 0.5000 0.3966
0.4331 0.0000 0.0860
0.4331 0.5000 0.5860
0.2739 0.0000 0.3253
0.2739 0.5000 0.8253
```